1.
VASP calculation (GGA-PBEsol) on a relaxed structure of Tl2TcCS.

Values from the calculation:
Its formation energy (no corrections) is 1.5529 eV per atom. Its magnetization is 2.67 μB per cell.

a b c (Å): 5.5283 5.5283 3.3125
angles (deg): 90.00 90.00 90.00
With the nearest neighbours (Å) after each atom.
Space group P4/mmm (No. 123)
Asymmetric unit:
Tl: 0.0000 0.5000 0.0000 x2  2 S 2.76
Tc: 0.0000 0.0000 0.5000 x1  8 Tl 3.22, 2 Tc 3.31
C: 0.5000 0.5000 0.5000 x1  2 S 1.66
S: 0.5000 0.5000 0.0000 x1  2 C 1.66


2.
VASP calculation (GGA-PBEsol) on a relaxed structure of KAg2Mo.

Values from the calculation:
The calculated formation energy comes out at 0.762 eV/atom. Its magnetization is 0.57 μB per cell.

a b c (Å): 2.6786 5.2701 5.4342
angles (deg): 90.00 90.00 90.00
With the nearest neighbours (Å) after each atom.
Space group Pmm2 (No. 25)
Asymmetric unit:
K: 0.0000 0.0000 0.0000 x1  2 K 2.68
Ag: 0.5000 0.0000 0.5043 x1  2 Ag 2.68, 4 Mo 2.98
Ag: 0.5000 0.5000 0.1025 x1  2 Ag 2.68, 2 Mo 2.91
Mo: 0.0000 0.5000 0.5780 x1  2 Mo 2.68, 6 Ag 2.91-2.98


3.
VASP calculation (GGA-PBEsol) on a relaxed structure of Al5Re3.

Values from the calculation:
The calculated formation energy comes out at -0.074 eV/atom. Its magnetization is 0.00 μB per cell.

a b c (Å): 6.8373 7.9360 4.1815
angles (deg): 90.00 90.00 90.00
With the nearest neighbours (Å) after each atom.
Space group Cmmm (No. 65)
Asymmetric unit:
Al: 0.0000 0.0000 0.0000 x2  8 Al 2.62-2.87, 4 Re 2.72
Al: 0.2127 0.5000 0.5000 x4  6 Re 2.55-2.66
Al: 0.2500 0.2500 0.0000 x4  6 Re 2.62-2.71, 6 Al 2.62-2.89
Re: 0.0000 0.2189 0.5000 x4  10 Al 2.62-2.72
Re: 0.0000 0.5000 0.0000 x2  8 Al 2.55-2.62


4.
VASP calculation (GGA-PBEsol) on a relaxed structure of Pm2RuPt.

Values from the calculation:
The calculated formation energy comes out at -0.530 eV/atom. Its magnetization is 0.00 μB per cell.

a b c (Å): 6.9582 6.9582 6.9582
angles (deg): 90.00 90.00 90.00
With the nearest neighbours (Å) after each atom.
Space group Fm-3m (No. 225)
Asymmetric unit:
Pm: 0.2500 0.2500 0.2500 x8  4 Ru 3.01, 4 Pt 3.01
Ru: 0.0000 0.0000 0.0000 x4  8 Pm 3.01
Pt: 0.0000 0.0000 0.5000 x4  8 Pm 3.01


5.
VASP calculation (GGA-PBEsol) on a relaxed structure of CuAgGeI2.

Values from the calculation:
Its formation energy (no corrections) is 0.7649 eV per atom. Its magnetization is 0.00 μB per cell.

a b c (Å): 5.5190 5.5190 4.7100
angles (deg): 90.00 90.00 90.00
With the nearest neighbours (Å) after each atom.
Space group P4/mmm (No. 123)
Asymmetric unit:
Cu: 0.0000 0.0000 0.0000 x1  2 Ag 2.36
Ag: 0.0000 0.0000 0.5000 x1  2 Cu 2.36
Ge: 0.5000 0.5000 0.0000 x1  8 I 3.63, 4 Cu 3.90
I: 0.0000 0.5000 0.5000 x2  2 Ag 2.76


6.
VASP calculation (GGA-PBEsol) on a relaxed structure of ZrInMo2.

Values from the calculation:
The calculated formation energy comes out at 0.088 eV/atom. Its magnetization is 0.00 μB per cell.

a b c (Å): 3.2743 4.8163 9.1929
angles (deg): 90.00 90.00 90.00
With the nearest neighbours (Å) after each atom.
Space group Cmm2 (No. 35)
Asymmetric unit:
Zr: 0.0000 0.0000 0.0000 x2  2 Mo 2.79, 4 Zr 2.91, 2 In 3.08
In: 0.0000 0.5000 0.2832 x2  2 Mo 2.88, 4 In 2.91, 2 Zr 3.08
Mo: 0.0000 0.0000 0.5404 x2  2 Mo 2.56
Mo: 0.0000 0.5000 0.7547 x2  2 Mo 2.56, 2 Zr 2.79


7.
VASP calculation (GGA-PBEsol) on a relaxed structure of LaCoRe2.

Values from the calculation:
The calculated formation energy comes out at 0.653 eV/atom. Its magnetization is 2.04 μB per cell.

a b c (Å): 2.7774 2.7774 29.3051
angles (deg): 90.00 90.00 120.00
With the nearest neighbours (Å) after each atom.
Space group R-3m (No. 166, hexagonal axes)
Asymmetric unit:
La: 0.0000 0.0000 0.0000 x3  6 La 2.78
Co: 0.0000 0.0000 0.5000 x3  6 Re 2.55, 6 Co 2.78
Re: 0.0000 0.0000 0.2345 x6  3 Co 2.55, 6 Re 2.78


8.
VASP calculation (GGA-PBEsol) on a relaxed structure of Ir2WSe.

Values from the calculation:
Its formation energy (no corrections) is 0.4793 eV per atom. Its magnetization is 0.00 μB per cell.

a b c (Å): 4.7212 4.7212 2.7709
angles (deg): 90.00 90.00 90.00
With the nearest neighbours (Å) after each atom.
Space group P4/mmm (No. 123)
Asymmetric unit:
Ir: 0.0000 0.5000 0.0000 x2  4 Se 2.74, 4 W 2.74, 2 Ir 2.77
W: 0.0000 0.0000 0.5000 x1  8 Ir 2.74, 2 W 2.77
Se: 0.5000 0.5000 0.5000 x1  8 Ir 2.74, 2 Se 2.77


9.
VASP calculation (GGA-PBEsol) on a relaxed structure of MgNi6Mo.

Values from the calculation:
The calculated formation energy comes out at -0.123 eV/atom. Its magnetization is 0.00 μB per cell.

a b c (Å): 7.1500 10.0971 10.1182
angles (deg): 90.00 90.00 90.00
With the nearest neighbours (Å) after each atom.
Space group Cmmm (No. 65)
Asymmetric unit:
Mg: 0.0000 0.0000 0.2485 x4  12 Ni 2.51-2.58
Mg: 0.0000 0.2488 0.0000 x4  12 Ni 2.51-2.59
Ni: 0.0000 0.0000 0.0000 x2  4 Mg 2.51, 8 Ni 2.56
Ni: 0.0000 0.0000 0.5000 x2  2 Mo 2.53, 8 Ni 2.54, 2 Mg 2.54
Ni: 0.0000 0.2524 0.2560 x8  2 Mo 2.47-2.50, 8 Ni 2.47-2.59, 2 Mg 2.55-2.59
Ni: 0.0000 0.5000 0.0000 x2  2 Mo 2.44, 8 Ni 2.51, 2 Mg 2.54
Ni: 0.0000 0.5000 0.5000 x2  8 Ni 2.50, 4 Mo 2.52-2.62
Ni: 0.2449 0.3766 0.1282 x16  1 Mo 2.44, 8 Ni 2.49-2.59, 3 Mg 2.52-2.57
Ni: 0.2458 0.3737 0.3780 x16  8 Ni 2.47-2.55, 3 Mo 2.48-2.57, 1 Mg 2.58
Mo: 0.0000 0.2502 0.5000 x4  12 Ni 2.47-2.53
Mo: 0.0000 0.5000 0.2415 x4  12 Ni 2.44-2.62


10.
VASP calculation (GGA-PBEsol) on a relaxed structure of Mg2RhAu.

Values from the calculation:
The calculated formation energy comes out at -0.509 eV/atom. Its magnetization is 0.00 μB per cell.

a b c (Å): 6.3049 6.3049 6.3049
angles (deg): 90.00 90.00 90.00
With the nearest neighbours (Å) after each atom.
Space group Fm-3m (No. 225)
Asymmetric unit:
Mg: 0.2500 0.2500 0.2500 x8  4 Rh 2.73, 4 Au 2.73
Rh: 0.0000 0.0000 0.0000 x4  8 Mg 2.73
Au: 0.0000 0.0000 0.5000 x4  8 Mg 2.73


11.
VASP calculation (GGA-PBEsol) on a relaxed structure of HgAs2HSe.

Values from the calculation:
Its magnetization is 1.79 μB per cell. The value obtained for the total energy is -2.1504 eV/atom.

a b c (Å): 5.1590 5.1590 5.2929
angles (deg): 90.00 90.00 90.00
With the nearest neighbours (Å) after each atom.
Space group P4/mmm (No. 123)
Asymmetric unit:
Hg: 0.0000 0.0000 0.0000 x1  4 As 2.58, 2 Se 2.65
As: 0.0000 0.5000 0.0000 x2  2 Hg 2.58
H: 0.5000 0.5000 0.5000 x1  4 Se 3.65, 8 As 3.70
Se: 0.0000 0.0000 0.5000 x1  2 Hg 2.65


12.
VASP calculation (GGA-PBEsol) on a relaxed structure of Ca2Hg.

Values from the calculation:
The calculated formation energy comes out at -0.145 eV/atom. Its magnetization is 0.00 μB per cell.

a b c (Å): 5.3110 5.3110 3.2580
angles (deg): 90.00 90.00 120.00
With the nearest neighbours (Å) after each atom.
Space group P6/mmm (No. 191)
Asymmetric unit:
Ca: 0.3333 0.6667 0.0000 x2  5 Ca 3.07-3.26
Hg: 0.0000 0.0000 0.5000 x1  2 Hg 3.26, 12 Ca 3.47